Material: Tb4Pr5Ho2
Method: DFT, PBE
State: optimized geometry Values from VASP.

Properties
E_form: 0.20 eV/atom
DOS at the Fermi energy: 17.92 states/eV per cell

```
&SYSTEM
  ibrav = 0, nat = 11, ntyp = 3
/
ATOMIC_SPECIES
Tb 158.93 Tb.upf
Pr 140.91 Pr.upf
Ho 164.93 Ho.upf
ATOMIC_POSITIONS angstrom
Tb 0.000 0.000 9.545
Tb 0.000 6.378 0.000
Pr 1.771 2.754 8.330
Pr 0.000 1.873 3.502
Ho 1.771 4.627 5.445
Ho 0.000 0.000 6.388
Tb 0.000 2.876 0.000
Pr 0.000 7.382 3.502
Pr 1.771 0.000 0.000
Tb 1.771 4.627 2.287
Pr 1.771 -2.754 8.330
CELL_PARAMETERS angstrom
3.542 0.000 0.000
0.000 9.254 0.000
-1.771 -4.627 11.832
```